# 1
LaSmTmHg | PBE-GGA | relaxed

Summary:
The calculation puts the energy above the most stable polymorph in this dataset at 0.000 eV/atom. As for the crystal system: tetragonal.

```
LaSmTmHg
1.0
3.671 0.000 0.000
0.000 3.671 0.000
0.000 0.000 8.998
La Sm Tm Hg
1 1 1 1
Direct
0.000 0.000 0.000 La
0.500 0.500 0.708 Sm
0.500 0.500 0.281 Tm
0.000 0.000 0.479 Hg
```



# 2
LaTbDyZn | PBE-GGA | relaxed

Summary:
The calculation puts the energy above the most stable polymorph in this dataset at 0.000 eV/atom. As for the crystal system: tetragonal.

```
LaTbDyZn
1.0
3.611 0.000 0.000
0.000 3.611 0.000
0.000 0.000 8.804
La Tb Dy Zn
1 1 1 1
Direct
0.000 0.000 0.000 La
0.500 0.500 0.698 Tb
0.500 0.500 0.300 Dy
0.000 0.000 0.497 Zn
```



# 3
Tb3PmHo6Sc2 | PBE-GGA | relaxed

Summary:
As for the final energy: -4.862 eV/atom. As for the crystal system: monoclinic.

```
Tb3PmHo6Sc2
1.0
3.032 -5.249 0.000
3.032 5.249 0.000
-2.013 0.000 11.432
Tb Pm Ho Sc
3 1 6 2
Direct
0.000 0.000 0.000 Tb
0.333 0.667 0.000 Tb
0.667 0.333 0.000 Tb
0.500 0.500 0.500 Pm
0.082 0.417 0.254 Ho
0.246 0.246 0.746 Ho
0.417 0.082 0.254 Ho
0.583 0.918 0.746 Ho
0.754 0.754 0.254 Ho
0.918 0.583 0.746 Ho
0.167 0.833 0.500 Sc
0.833 0.167 0.500 Sc
```



# 4
SrLiGaN2 | PBE-GGA | relaxed

Summary:
The calculation puts the energy above the most stable polymorph in this dataset at 0.000 eV/atom. Its raw formation energy is -0.5889 eV/atom. As for the crystal system: monoclinic.

```
SrLiGaN2
1.0
3.062 -5.136 0.000
3.062 5.136 0.000
-0.293 0.000 12.735
Sr Li Ga N
6 6 6 12
Direct
0.053 0.053 0.256 Sr
0.166 0.834 0.000 Sr
0.178 0.822 0.500 Sr
0.822 0.178 0.500 Sr
0.834 0.166 0.000 Sr
0.947 0.947 0.744 Sr
0.187 0.552 0.319 Li
0.404 0.404 0.081 Li
0.448 0.813 0.681 Li
0.552 0.187 0.319 Li
0.596 0.596 0.919 Li
0.813 0.448 0.681 Li
0.186 0.511 0.812 Ga
0.392 0.392 0.589 Ga
0.489 0.814 0.188 Ga
0.511 0.186 0.812 Ga
0.608 0.608 0.411 Ga
0.814 0.489 0.188 Ga
0.137 0.455 0.657 N
0.147 0.503 0.149 N
0.251 0.251 0.892 N
0.281 0.281 0.433 N
0.455 0.137 0.657 N
0.497 0.853 0.851 N
0.503 0.147 0.149 N
0.545 0.863 0.343 N
0.719 0.719 0.567 N
0.749 0.749 0.108 N
0.853 0.497 0.851 N
0.863 0.545 0.343 N
```



# 5
SrSc2Ni | PBE-GGA | relaxed

Summary:
The calculation puts the energy above the most stable polymorph in this dataset at 0.102 eV/atom. As for the crystal system: monoclinic.

```
SrSc2Ni
1.0
11.321 0.000 0.000
0.000 3.519 0.000
-3.255 0.000 5.334
Sr Sc Ni
2 4 2
Direct
0.000 0.000 0.000 Sr
0.500 0.500 0.000 Sr
0.131 0.500 0.631 Sc
0.326 0.500 0.328 Sc
0.631 0.000 0.631 Sc
0.826 0.000 0.328 Sc
0.273 0.000 0.556 Ni
0.773 0.500 0.556 Ni
```



# 6
Tb2TmMgBi4 | PBE-GGA | relaxed

Summary:
As for the final energy: -4.458 eV/atom. As for the crystal system: monoclinic.

```
Tb2TmMgBi4
1.0
7.729 0.000 0.000
0.000 4.432 0.000
-2.640 0.000 7.316
Tb Tm Mg Bi
2 1 1 4
Direct
0.000 0.000 0.000 Tb
0.000 0.500 0.500 Tb
0.500 0.000 0.500 Tm
0.500 0.500 0.000 Mg
0.255 0.500 0.251 Bi
0.260 0.000 0.757 Bi
0.740 0.000 0.243 Bi
0.745 0.500 0.749 Bi
```



# 7
NdErAlTl | PBE-GGA | relaxed

Summary:
The calculation puts the energy above the most stable polymorph in this dataset at 0.000 eV/atom. As for the crystal system: tetragonal.

```
NdErAlTl
1.0
3.697 0.000 0.000
0.000 3.697 0.000
0.000 0.000 7.713
Nd Er Al Tl
1 1 1 1
Direct
0.000 0.000 0.000 Nd
0.000 0.000 0.472 Er
0.500 0.500 0.249 Al
0.500 0.500 0.719 Tl
```



# 8
Ga3RuC | PBE-GGA | relaxed

Summary:
The calculation puts the energy above the most stable polymorph in this dataset at 0.346 eV/atom. As for the crystal system: cubic.

```
Ga3RuC
1.0
4.776 0.000 0.000
0.000 4.776 0.000
0.000 0.000 4.776
Ga Ru C
3 1 1
Direct
0.000 0.000 0.500 Ga
0.000 0.500 0.000 Ga
0.500 0.000 0.000 Ga
0.000 0.000 0.000 Ru
0.500 0.500 0.500 C
```



# 9
Ta2Nb2Mo3 | PBE-GGA | relaxed

Summary:
The calculation puts the energy above the most stable polymorph in this dataset at 0.000 eV/atom. As for the crystal system: monoclinic.

```
Ta2Nb2Mo3
1.0
7.891 0.000 0.000
0.000 4.559 0.000
-2.607 0.000 6.640
Ta Nb Mo
4 4 6
Direct
0.070 0.000 0.210 Ta
0.430 0.500 0.790 Ta
0.570 0.500 0.210 Ta
0.930 0.000 0.790 Ta
0.214 0.000 0.643 Nb
0.286 0.500 0.357 Nb
0.714 0.500 0.643 Nb
0.786 0.000 0.357 Nb
0.000 0.500 0.500 Mo
0.143 0.500 0.930 Mo
0.357 0.000 0.070 Mo
0.500 0.000 0.500 Mo
0.643 0.000 0.930 Mo
0.857 0.500 0.070 Mo
```



# 10
LaTe2P | PBE-GGA | relaxed

Summary:
Its raw formation energy is -0.3376 eV/atom. As for the crystal system: trigonal.

```
LaTe2P
1.0
4.790 0.000 0.000
-2.395 4.148 0.000
0.000 0.000 26.427
La Te P
3 6 3
Direct
0.000 0.000 0.000 La
0.333 0.667 0.667 La
0.667 0.333 0.333 La
0.000 0.000 0.397 Te
0.000 0.000 0.603 Te
0.333 0.667 0.064 Te
0.333 0.667 0.269 Te
0.667 0.333 0.731 Te
0.667 0.333 0.936 Te
0.000 0.000 0.500 P
0.333 0.667 0.167 P
0.667 0.333 0.833 P
```



no.,M_tot (μB per formula unit)
1,0.00
2,0.00
3,0.00
4,0.00
5,0.34
6,0.00
7,0.00
8,2.11
9,0.00
10,2.00